Material: CdCuMo2Rh
Method: DFT, PBE-GGA
State: relaxed

Properties
total DFT energy (no corrections) = -0.318 Ry/atom

Cell: 4.913 4.913 4.811 Å, 90.00 90.00 90.00°
Fractional positions:
1 Cd 0.000 0.000 0.000
2 Cu 0.500 0.500 0.500
3 Mo 0.000 0.500 0.000
4 Mo 0.500 0.000 0.000
5 Rh 0.000 0.000 0.500